RbMgReW2, optimized geometry, DFT GGA-PBE; magnetization = 1.00 Bohr magnetons per cell; mass density = 9.3 Mg/m³; E_form = 16.4 eV per formula unit
1.0
4.898 0.000 0.000
0.000 4.940 0.000
0.000 0.000 4.898
Re Mg Rb W
1 1 1 2
Direct
0.500 0.500 0.500 Re
0.000 0.000 0.000 Mg
0.000 0.500 0.000 Rb
0.000 0.000 0.500 W
0.500 0.000 0.000 W